(1)
Entry from the Alexandria database: a geometry-optimized NdSmHo structure (PBE).

a = 6.2804 Å, b = 3.6343 Å, c = 9.0364 Å
α = 90.00°, β = 103.67°, γ = 90.00°
Space group Cm (No. 8)
Inequivalent atoms, fractional coordinates:
Nd: 0.0000 0.0000 0.0000 [2 per cell]
Sm: 0.4428 0.0000 0.3420 [2 per cell]
Ho: 0.2207 0.0000 0.6681 [2 per cell]

## Properties
ΔH_f (0 K), eV per atom: 0.0215
V, Å³/f.u.: 100
Final energy, eV per formula unit: -14.00

---

(2)
Entry from the Alexandria database: a geometry-optimized MgAg structure (PBE).

a = 6.6972 Å, b = 6.6972 Å, c = 6.6972 Å
α = 90.00°, β = 90.00°, γ = 90.00°
Space group Fd-3m (No. 227, origin choice 2)
Inequivalent atoms, fractional coordinates:
Mg: 0.1250 0.1250 0.1250 [8 per cell]
Ag: 0.1250 0.1250 0.6250 [8 per cell]

## Properties
ΔH_f (0 K), eV per atom: -0.1317
V, Å³/f.u.: 38
Final energy, eV per formula unit: -4.71

---

(3)
Entry from the Alexandria database: a geometry-optimized P2N structure (PBE).

a = 3.3872 Å, b = 3.3872 Å, c = 7.6154 Å
α = 90.00°, β = 90.00°, γ = 90.00°
Space group I4/mmm (No. 139)
Inequivalent atoms, fractional coordinates:
P: 0.0000 0.0000 0.2078 [4 per cell]
N: 0.0000 0.0000 0.0000 [2 per cell]

## Properties
V, Å³/f.u.: 44
Final energy, eV per formula unit: -18.59
Formation energy without anion corrections, eV/atom: 0.1860

---

(4)
Entry from the Alexandria database: a geometry-optimized Y6CdPd5 structure (PBE).

a = 5.0216 Å, b = 7.1355 Å, c = 7.9248 Å
α = 90.00°, β = 108.33°, γ = 90.00°
Space group P2/m (No. 10)
Inequivalent atoms, fractional coordinates:
Y: 0.0000 0.2390 0.0000 [2 per cell]
Y: 0.3287 0.2468 0.6583 [4 per cell]
Cd: 0.5000 0.5000 0.0000 [1 per cell]
Pd: 0.1593 0.5000 0.3167 [2 per cell]
Pd: 0.1686 0.0000 0.3347 [2 per cell]
Pd: 0.5000 0.0000 0.0000 [1 per cell]

## Properties
ΔH_f (0 K), eV per atom: -0.7690
V, Å³/f.u.: 270
Final energy, eV per formula unit: -74.89

---

(5)
Entry from the Alexandria database: a geometry-optimized MgTi2Cd2Pd5 structure (PBE).

a = 9.4959 Å, b = 9.4959 Å, c = 3.9294 Å
α = 90.00°, β = 90.00°, γ = 90.00°
Space group P4/mbm (No. 127)
Inequivalent atoms, fractional coordinates:
Mg: 0.0000 0.0000 0.0000 [2 per cell]
Ti: 0.1227 0.3773 0.0000 [4 per cell]
Cd: 0.1743 0.6743 0.0000 [4 per cell]
Pd: 0.0000 0.5000 0.5000 [2 per cell]
Pd: 0.0765 0.2024 0.5000 [8 per cell]

## Properties
ΔH_f (0 K), eV per atom: -0.2747
V, Å³/f.u.: 177
Final energy, eV per formula unit: -47.93

---

(6)
Entry from the Alexandria database: a geometry-optimized In3As2Pd7 structure (PBE).

a = 4.9541 Å, b = 19.1283 Å, c = 4.6939 Å
α = 90.00°, β = 90.00°, γ = 90.00°
Space group Cmmm (No. 65)
Inequivalent atoms, fractional coordinates:
In: 0.0000 0.0000 0.0000 [2 per cell]
In: 0.0000 0.1683 0.0000 [4 per cell]
As: 0.0000 0.3637 0.5000 [4 per cell]
Pd: 0.0000 0.0825 0.5000 [4 per cell]
Pd: 0.0000 0.2334 0.5000 [4 per cell]
Pd: 0.0000 0.4177 0.0000 [4 per cell]
Pd: 0.0000 0.5000 0.5000 [2 per cell]

## Properties
ΔH_f (0 K), eV per atom: -0.2936
V, Å³/f.u.: 222
Final energy, eV per formula unit: -57.39